Record 1
FeBPCl2 at its PBEsol-relaxed geometry, computed with meta-GGA SCAN.

```
FeBPCl2
1.0
4.6089 0.0000 0.0000
0.0000 4.6089 0.0000
0.0000 0.0000 4.2499
Fe B P Cl
1 1 1 2
Cartesian
0.0000 0.0000 0.0000
2.3044 2.3044 2.1249
0.0000 0.0000 2.1249
0.0000 2.3044 0.0000
2.3044 0.0000 0.0000
```

Summary:
**Crystal system**: tetragonal
**Space group**: P4/mmm, No. 123
**Energy relative to the elements, uncorrected**: 969 meV/atom

***

Record 2
FeB2SCl at its PBEsol-relaxed geometry, computed with meta-GGA SCAN.

```
FeB2SCl
1.0
3.9489 0.0000 0.0000
0.0000 3.9489 0.0000
0.0000 0.0000 4.1582
Fe B S Cl
1 2 1 1
Cartesian
0.0000 0.0000 0.0000
0.0000 1.9745 0.0000
1.9745 0.0000 0.0000
0.0000 0.0000 2.0791
1.9745 1.9745 2.0791
```

Summary:
**Crystal system**: tetragonal
**Space group**: P4/mmm, No. 123
**Energy relative to the elements, uncorrected**: 885 meV/atom

***

Record 3
GeBS2Cl at its PBEsol-relaxed geometry, computed with meta-GGA SCAN.

```
GeBS2Cl
1.0
4.6280 0.0000 0.0000
0.0000 4.6280 0.0000
0.0000 0.0000 4.8594
Ge B S Cl
1 1 2 1
Cartesian
0.0000 0.0000 0.0000
2.3140 2.3140 2.4297
0.0000 2.3140 0.0000
2.3140 0.0000 0.0000
0.0000 0.0000 2.4297
```

Summary:
**Crystal system**: tetragonal
**Space group**: P4/mmm, No. 123
**Energy relative to the elements, uncorrected**: 1011 meV/atom

***

Record 4
TlGe2BCl at its PBEsol-relaxed geometry, computed with meta-GGA SCAN.

```
TlGe2BCl
1.0
5.6173 0.0000 0.0000
0.0000 5.6173 0.0000
0.0000 0.0000 4.0420
Tl Ge B Cl
1 2 1 1
Cartesian
0.0000 0.0000 0.0000
0.0000 2.8087 0.0000
2.8087 0.0000 0.0000
0.0000 0.0000 2.0210
2.8087 2.8087 2.0210
```

Summary:
**Crystal system**: tetragonal
**Space group**: P4/mmm, No. 123
**Energy relative to the elements, uncorrected**: 1226 meV/atom

***

Record 5
B10H13Cl at its PBEsol-relaxed geometry, computed with meta-GGA SCAN.

```
B10H13Cl
1.0
12.2658 0.0000 0.0000
0.0000 7.5297 0.0000
-4.6958 0.0000 9.7246
B H Cl
40 52 4
Cartesian
-0.8511 1.7494 4.0566
-3.1990 2.0154 8.9189
-2.0928 1.1462 7.8917
0.2551 2.6187 3.0294
-2.5537 0.2172 9.2954
-0.2058 3.5477 4.4331
0.4865 0.8776 3.2485
-1.8614 2.8873 8.1108
0.0040 0.3919 4.8232
-2.3439 3.3730 9.6855
-0.8723 0.1481 8.6857
1.4756 3.6168 3.8234
-0.4810 1.7929 8.1938
1.8669 1.9720 3.3315
3.5413 0.0926 0.6567
1.1935 3.6722 5.5190
1.7242 0.7040 4.5235
-0.6237 3.0608 9.3858
4.7277 1.2625 0.0405
2.3798 2.5023 4.9028
5.1902 5.0274 4.8217
2.8423 6.2672 9.6840
8.1937 4.4689 0.3388
5.8458 6.8257 5.2011
6.3766 3.8575 4.2056
4.0287 7.4371 9.0679
5.7031 5.5577 6.3931
8.0510 5.7369 1.5308
6.0944 3.9129 5.9012
8.4423 7.3816 1.0389
9.9139 4.1567 0.0391
7.5660 7.1379 4.9014
9.4314 4.6424 1.6138
7.0835 6.6521 6.4761
7.7758 3.9820 5.2915
10.1237 7.3125 0.4292
7.3149 4.9110 6.6952
9.6628 6.3835 1.8329
10.7690 5.5143 0.8057
8.4212 5.7803 5.6680
-0.3278 5.4147 1.0457
-2.6756 5.8799 5.9080
-2.5622 0.7491 6.8600
-0.2143 3.0158 1.9978
-1.0006 4.4422 4.4053
-3.3485 6.8523 9.2676
0.3588 0.1261 2.3226
-1.9891 3.6388 7.1849
-0.7536 1.3763 5.3326
1.5943 2.3886 0.4703
1.8652 4.3948 0.3461
-0.4827 6.8997 5.2084
2.2545 0.5532 0.8358
-0.0934 3.2117 5.6981
1.9619 4.5648 3.2770
-0.3860 6.7298 8.1392
1.0240 0.6503 5.6563
3.3719 3.1145 0.7940
2.7787 1.8329 2.5554
0.4308 1.9319 7.4177
4.0275 1.2871 1.1468
1.6797 2.4777 6.0091
0.1758 3.9440 9.4982
2.5237 7.3506 4.6359
5.8722 1.1594 0.3708
3.5243 2.6054 5.2331
4.0457 4.9243 4.4915
1.6978 6.3703 9.3538
5.0463 0.1791 5.0887
7.3942 3.5857 0.2264
5.8903 5.0520 3.7155
3.5425 6.2426 8.5778
7.1392 5.5978 2.3069
4.7913 5.6968 7.1692
4.1981 4.4152 8.9306
6.5460 6.8794 4.0683
7.9560 0.7999 1.5853
5.6081 2.9650 6.4476
7.6634 4.3181 4.0265
5.3155 6.9765 8.8888
8.0527 0.6300 4.5162
5.7048 3.1349 9.3785
5.9758 5.1411 9.2543
8.3236 6.1534 4.3920
9.5591 3.8910 2.5397
7.2112 7.4036 7.4019
10.9185 0.6774 0.4569
8.5706 3.0875 5.3192
7.7843 4.5139 7.7268
10.1322 6.7807 2.8645
10.2456 1.6498 3.8166
7.8978 2.1150 8.6789
1.5105 4.9259 6.7085
3.8584 6.3686 1.8462
3.7116 1.1611 7.8784
6.0595 2.6038 3.0161
```

Summary:
**Crystal system**: monoclinic
**Space group**: P2_1/c, No. 14

***

Record 6
BHCl3 at its PBEsol-relaxed geometry, computed with meta-GGA SCAN.

```
BHCl3
1.0
4.2498 0.0000 0.0000
0.0000 4.2498 0.0000
0.0000 0.0000 4.2498
B H Cl
1 1 3
Cartesian
0.0000 0.0000 0.0000
2.1249 2.1249 2.1249
0.0000 2.1249 2.1249
2.1249 0.0000 2.1249
2.1249 2.1249 0.0000
```

Summary:
**Crystal system**: cubic
**Space group**: Pm-3m, No. 221

***

Record 7
BPHCl2 at its PBEsol-relaxed geometry, computed with meta-GGA SCAN.

```
BPHCl2
1.0
4.5963 0.0000 0.0000
0.0000 4.5963 0.0000
0.0000 0.0000 3.7865
B P H Cl
1 1 1 2
Cartesian
0.0000 0.0000 0.0000
0.0000 0.0000 1.8932
2.2981 2.2981 1.8932
0.0000 2.2981 0.0000
2.2981 0.0000 0.0000
```

Summary:
**Crystal system**: tetragonal
**Space group**: P4/mmm, No. 123

***

Record 8
Rb3B12H12Cl at its PBEsol-relaxed geometry, computed with meta-GGA SCAN.

```
Rb3B12H12Cl
1.0
4.9472 2.8563 3.7279
-4.9472 2.8563 3.7279
0.0000 -5.7126 3.7279
Rb B H Cl
3 12 12 1
Cartesian
-2.4736 -1.4281 3.7279
-2.4736 1.4281 7.4559
0.0000 2.8563 3.7279
0.0000 -1.0202 1.3383
-0.8835 0.5101 1.3383
0.0000 -4.0574 4.0468
-3.5138 2.0287 4.0468
-3.5139 -2.0287 7.1370
0.8835 0.5101 1.3383
-0.8835 -0.5101 9.8455
3.5138 2.0287 4.0468
3.5139 -2.0287 7.1370
0.0000 4.0574 7.1370
0.8835 -0.5101 9.8455
0.0000 1.0202 9.8455
0.0000 -1.7528 2.2955
-1.5180 0.8764 2.2955
0.0000 -2.8715 4.2960
-2.4868 1.4358 4.2960
-2.4868 -1.4358 6.8878
1.5180 0.8764 2.2955
-1.5180 -0.8764 8.8883
2.4868 1.4358 4.2960
2.4868 -1.4358 6.8878
0.0000 2.8715 6.8878
1.5180 -0.8764 8.8883
0.0000 1.7528 8.8883
0.0000 0.0000 5.5919
```

Summary:
**Crystal system**: trigonal
**Space group**: R-3m, No. 166

***

Record 9
HfNiBCl2 at its PBEsol-relaxed geometry, computed with meta-GGA SCAN.

```
HfNiBCl2
1.0
4.4861 0.0000 0.0000
0.0000 4.4861 0.0000
0.0000 0.0000 3.8669
Hf Ni B Cl
1 1 1 2
Cartesian
0.0000 0.0000 0.0000
2.2431 2.2431 1.9334
2.2431 2.2431 0.0000
0.0000 2.2431 1.9334
2.2431 0.0000 1.9334
```

Summary:
**Crystal system**: tetragonal
**Space group**: P4/mmm, No. 123
**Energy relative to the elements, uncorrected**: 637 meV/atom

***

Record 10
HfZnBCl2 at its PBEsol-relaxed geometry, computed with meta-GGA SCAN.

```
HfZnBCl2
1.0
4.8937 0.0000 0.0000
0.0000 4.8937 0.0000
0.0000 0.0000 3.9024
Hf Zn B Cl
1 1 1 2
Cartesian
0.0000 0.0000 0.0000
2.4468 2.4468 1.9512
2.4468 2.4468 0.0000
0.0000 2.4468 1.9512
2.4468 0.0000 1.9512
```

Summary:
**Crystal system**: tetragonal
**Space group**: P4/mmm, No. 123
**Energy relative to the elements, uncorrected**: 772 meV/atom

***

Record 11
HgBP2Cl at its PBEsol-relaxed geometry, computed with meta-GGA SCAN.

```
HgBP2Cl
1.0
3.8708 0.0000 0.0000
0.0000 3.8708 0.0000
0.0000 0.0000 6.6586
Hg B P Cl
1 1 2 1
Cartesian
0.0000 0.0000 0.0000
1.9354 1.9354 3.3293
0.0000 1.9354 3.3293
1.9354 0.0000 3.3293
1.9354 1.9354 0.0000
```

Summary:
**Crystal system**: tetragonal
**Space group**: P4/mmm, No. 123
**Energy relative to the elements, uncorrected**: 715 meV/atom

***

Record 12
Hg2BSCl at its PBEsol-relaxed geometry, computed with meta-GGA SCAN.

```
Hg2BSCl
1.0
5.4404 0.0000 0.0000
0.0000 5.4404 0.0000
0.0000 0.0000 4.5703
Hg B S Cl
2 1 1 1
Cartesian
0.0000 2.7202 0.0000
2.7202 0.0000 0.0000
0.0000 0.0000 2.2851
2.7202 2.7202 2.2851
2.7202 2.7202 0.0000
```

Summary:
**Crystal system**: tetragonal
**Space group**: P4/mmm, No. 123
**Energy relative to the elements, uncorrected**: 1513 meV/atom

***

Number 1: calculated total energy -9.4139 eV per atom. Number 2: calculated total energy -9.2343 eV per atom. Number 3: calculated total energy -9.7392 eV per atom. Number 4: calculated total energy -23.9622 eV per atom. Number 5: calculated total energy -5.4644 eV per atom. Number 6: calculated total energy -5.7143 eV per atom. Number 7: calculated total energy -6.4980 eV per atom. Number 8: calculated total energy -7.7313 eV per atom. Number 9: calculated total energy -19.8095 eV per atom. Number 10: calculated total energy -19.1431 eV per atom. Number 11: calculated total energy -20.1590 eV per atom. Number 12: calculated total energy -30.7601 eV per atom.